Record 1
BaZn2Pt at its PBEsol-relaxed geometry. Source: Alexandria, functional meta-GGA SCAN.

Geometry as POSCAR:
```
BaZn2Pt
1.0
-1.619 1.309 3.836
-4.319 0.203 0.591
-1.981 -4.806 3.288
Zn Ba Pt
2 1 1
direct
0.305 0.305 0.086 Zn
0.695 0.695 0.914 Zn
0.500 0.500 0.500 Ba
0.000 0.000 0.000 Pt
```

Summary:
For the calculated density, the calculation gives 8.31 g/cm3. The space-group type is R-3m, No. 166. Its energy of formation from the pure elements is -0.6213 eV per atom. For the total magnetization, the calculation gives 0.00 μB per formula unit.



Record 2
BaZn2Pt at its PBEsol-relaxed geometry. Source: Alexandria, functional meta-GGA SCAN.

Geometry as POSCAR:
```
BaZn2Pt
1.0
4.814 -0.573 0.000
-0.836 4.776 0.000
-1.989 -2.101 4.047
Zn Ba Pt
2 1 1
direct
0.500 0.000 0.500 Zn
0.000 0.500 0.500 Zn
0.500 0.500 0.000 Ba
0.000 0.000 0.000 Pt
```

Summary:
For the calculated density, the calculation gives 8.44 g/cm3. The space-group type is Fmmm, No. 69. Its energy of formation from the pure elements is 0.0623 eV per atom. For the total magnetization, the calculation gives 0.00 μB per formula unit.